The following is a PBE calculation of a relaxed LiTmIn2Ag4 crystal, from Alexandria via LeMat-Bulk. Values from VASP.

Computed properties:
**Energy of formation from the pure elements**: -1.98 eV/f.u.
**Raw total energy**: -3.157 eV per atom
**Total magnetic moment**: 0.00 μB per cell

The structure in Quantum ESPRESSO input format:
```
&SYSTEM
  ibrav = 0, nat = 8, ntyp = 4
/
ATOMIC_SPECIES
In 114.82 In.upf
Ag 107.87 Ag.upf
Tm 168.93 Tm.upf
Li 6.94 Li.upf
ATOMIC_POSITIONS angstrom
In 7.234 4.176 5.941
In 2.411 1.392 1.931
Ag 4.823 2.784 6.687
Ag 4.823 2.784 1.184
Ag 2.411 1.392 4.817
Tm 0.000 0.000 0.000
Ag 7.234 4.176 3.054
Li 4.823 2.784 3.936
CELL_PARAMETERS angstrom
4.823 0.000 0.000
2.411 4.176 0.000
2.411 1.392 7.872
```

---

The following is a PBE calculation of a relaxed LiTmInAg crystal, from Alexandria via LeMat-Bulk. Values from VASP.

Computed properties:
**Energy of formation from the pure elements**: -1.45 eV/f.u.
**Raw total energy**: -3.357 eV per atom
**Total magnetic moment**: 0.00 μB per cell

The structure in Quantum ESPRESSO input format:
```
&SYSTEM
  ibrav = 0, nat = 4, ntyp = 4
/
ATOMIC_SPECIES
Ag 107.87 Ag.upf
Tm 168.93 Tm.upf
Li 6.94 Li.upf
In 114.82 In.upf
ATOMIC_POSITIONS angstrom
Ag 2.419 1.397 0.988
Tm 0.000 0.000 0.000
Li 7.258 4.190 2.963
In 4.838 2.793 1.975
CELL_PARAMETERS angstrom
4.838 0.000 0.000
2.419 4.190 0.000
2.419 1.397 3.951
```

---

The following is a PBE calculation of a relaxed Li2YIn2Ag2 crystal, from Alexandria via LeMat-Bulk. Values from VASP.

Computed properties:
**Energy of formation from the pure elements**: -2.38 eV/f.u.
**Raw total energy**: -3.407 eV per atom
**Total magnetic moment**: 0.00 μB per cell

The structure in Quantum ESPRESSO input format:
```
&SYSTEM
  ibrav = 0, nat = 7, ntyp = 4
/
ATOMIC_SPECIES
Y 88.91 Y.upf
Li 6.94 Li.upf
Ag 107.87 Ag.upf
In 114.82 In.upf
ATOMIC_POSITIONS angstrom
Y 0.000 0.000 0.000
Li -1.399 1.312 2.533
Ag -2.173 2.084 -0.641
Ag -2.535 2.382 4.598
Li -3.308 3.154 1.423
In -1.365 4.632 3.264
In -3.342 -0.166 0.692
CELL_PARAMETERS angstrom
-0.720 4.061 -2.501
-3.359 -3.482 -0.037
-0.629 3.887 6.494
```

---

The following is a PBE calculation of a relaxed LiYInAg crystal, from Alexandria via LeMat-Bulk. Values from VASP.

Computed properties:
**Energy of formation from the pure elements**: -1.59 eV/f.u.
**Raw total energy**: -3.888 eV per atom
**Total magnetic moment**: 0.00 μB per cell

The structure in Quantum ESPRESSO input format:
```
&SYSTEM
  ibrav = 0, nat = 4, ntyp = 4
/
ATOMIC_SPECIES
Ag 107.87 Ag.upf
Y 88.91 Y.upf
Li 6.94 Li.upf
In 114.82 In.upf
ATOMIC_POSITIONS angstrom
Ag -1.094 -4.896 -3.261
Y -1.641 -7.343 -4.892
Li 0.000 0.000 0.000
In -0.547 -2.448 -1.631
CELL_PARAMETERS angstrom
-2.593 -1.818 -3.720
1.981 -3.352 -2.951
-1.575 -4.622 0.149
```

---

The following is a PBE calculation of a relaxed Li3Zn2In2Ag4 crystal, from Alexandria via LeMat-Bulk. Values from VASP.

Computed properties:
**Energy of formation from the pure elements**: -2.00 eV/f.u.
**Raw total energy**: -2.470 eV per atom
**Total magnetic moment**: 0.00 μB per cell

The structure in Quantum ESPRESSO input format:
```
&SYSTEM
  ibrav = 0, nat = 11, ntyp = 4
/
ATOMIC_SPECIES
In 114.82 In.upf
Ag 107.87 Ag.upf
Zn 65.41 Zn.upf
Li 6.94 Li.upf
ATOMIC_POSITIONS angstrom
In -8.022 1.239 4.474
Ag -6.096 0.792 2.494
Zn -6.257 -1.142 4.773
Li 0.000 0.000 0.000
Ag -8.092 -0.716 6.661
Li -2.741 0.636 2.819
Ag -2.444 -0.055 -1.261
Ag -4.441 -1.563 2.905
Zn -4.280 0.371 0.627
Li -4.795 1.112 4.931
In -2.515 -2.010 0.925
CELL_PARAMETERS angstrom
-2.720 1.980 -3.091
-0.281 -4.500 0.741
-7.536 1.748 7.750
```

---

The following is a PBE calculation of a relaxed Li2Zn2InAg2 crystal, from Alexandria via LeMat-Bulk. Values from VASP.

Computed properties:
**Energy of formation from the pure elements**: -1.23 eV/f.u.
**Raw total energy**: -2.292 eV per atom
**Total magnetic moment**: 0.00 μB per cell

The structure in Quantum ESPRESSO input format:
```
&SYSTEM
  ibrav = 0, nat = 7, ntyp = 4
/
ATOMIC_SPECIES
Zn 65.41 Zn.upf
Ag 107.87 Ag.upf
Li 6.94 Li.upf
In 114.82 In.upf
ATOMIC_POSITIONS angstrom
Zn 2.238 1.306 -0.373
Ag 2.238 -0.169 2.742
Li 0.000 0.620 1.317
In 0.000 -0.736 4.428
Zn 0.000 0.611 6.923
Li 2.238 1.297 5.233
Ag 0.000 2.086 3.809
CELL_PARAMETERS angstrom
4.476 0.000 0.000
-2.238 3.390 -2.306
0.000 -1.472 8.856
```

---

Number 5 is which compound?
Li3Zn2In2Ag4

---

What did the sixth record say?
The following is a PBE calculation of a relaxed Li2Zn2InAg2 crystal, from Alexandria via LeMat-Bulk. Values from VASP.

Computed properties:
**Energy of formation from the pure elements**: -1.23 eV/f.u.
**Raw total energy**: -2.292 eV per atom
**Total magnetic moment**: 0.00 μB per cell

The structure in Quantum ESPRESSO input format:
```
&SYSTEM
  ibrav = 0, nat = 7, ntyp = 4
/
ATOMIC_SPECIES
Zn 65.41 Zn.upf
Ag 107.87 Ag.upf
Li 6.94 Li.upf
In 114.82 In.upf
ATOMIC_POSITIONS angstrom
Zn 2.238 1.306 -0.373
Ag 2.238 -0.169 2.742
Li 0.000 0.620 1.317
In 0.000 -0.736 4.428
Zn 0.000 0.611 6.923
Li 2.238 1.297 5.233
Ag 0.000 2.086 3.809
CELL_PARAMETERS angstrom
4.476 0.000 0.000
-2.238 3.390 -2.306
0.000 -1.472 8.856
```

---

What is the energy of formation from the pure elements in the sixth record?
-1.23 eV/f.u.